{
  "formula": "Ho2Ga2Pd5Au",
  "functional": "GGA-PBE",
  "state": "relaxed",
  "ef_ev_per_atom": -0.7047,
  "spacegroup": "P4/mbm",
  "final_energy_ev_per_fu": -51.5,
  "volume_a3_per_atom": 17.956,
  "lattice": [[9.740, 0.000, 0.000], [0.000, 9.740, 0.000], [0.000, 0.000, 3.785]],
  "species": ["Ho", "Ho", "Ho", "Ho", "Ga", "Ga", "Ga", "Ga", "Pd", "Pd", "Pd", "Pd", "Pd", "Pd", "Pd", "Pd", "Pd", "Pd", "Au", "Au"],
  "frac_coords": [[0.178, 0.322, 0.000], [0.322, 0.822, 0.000], [0.678, 0.178, 0.000], [0.822, 0.678, 0.000], [0.121, 0.621, 0.000], [0.379, 0.121, 0.000], [0.621, 0.879, 0.000], [0.879, 0.379, 0.000], [0.000, 0.500, 0.500], [0.066, 0.793, 0.500], [0.207, 0.066, 0.500], [0.293, 0.566, 0.500], [0.434, 0.293, 0.500], [0.500, 0.000, 0.500], [0.566, 0.707, 0.500], [0.707, 0.434, 0.500], [0.793, 0.934, 0.500], [0.934, 0.207, 0.500], [0.000, 0.000, 0.000], [0.500, 0.500, 0.000]]
}